This record from Alexandria via LeMat-Bulk describes a relaxed structure of RbMn2As2O6. The functional is PBE with a Hubbard U.

Cell lengths 6.5719, 7.6733, 7.3158 Å; angles 135.73, 116.72, 48.18 degrees
Last column: nearest neighbours and their distance in Å.
Element x y z (fractional)
Rb (0.5000, 0.0000, 0.5000)  6 O 2.78-3.00
Mn (0.8863, 0.3382, 0.7708)  4 O 1.88-2.09
Mn (0.1137, 0.6618, 0.2292)  4 O 1.88-2.09
As (0.1151, 0.7353, 0.7453)  2 O 1.72-1.83
As (0.8849, 0.2647, 0.2547)  2 O 1.72-1.83
O (0.4637, 0.5389, 0.7663)  1 As 1.72
O (0.9295, 0.4882, 0.1211)  2 Mn 1.88-1.91
O (0.0544, 0.8974, 0.6133)  1 As 1.83, 1 Mn 2.02
O (0.0705, 0.5118, 0.8789)  2 Mn 1.88-1.91
O (0.9456, 0.1026, 0.3867)  1 As 1.83, 1 Mn 2.02
O (0.5363, 0.4611, 0.2337)  1 As 1.72

Computed properties:
- Space group: P-1, No. 2
- Uncorrected energy: -68.952 eV/cell
- Calculated volume: 17.424 Å³ per atom